(1)
A plane-wave DFT calculation with GGA-PBE was carried out for crystalline LiAs2Ir at its relaxed geometry.

Properties
Excess energy over the best structure of this formula in the dataset   188 meV per atom
Total magnetic moment   0.000 μB per cell
N(E_F)   0.291 states/eV per atom
Electronic total energy   -5.119 eV/atom
Calculated formation energy   -39 kJ/mol of formula units

Unit cell a=4.1600 b=4.1600 c=3.5507 alpha=90.00 beta=90.00 gamma=90.00
Last column: nearest neighbours and their distance in Å.
Space group P4/mmm (No. 123)
Asymmetric unit:
1 Li 0.0000 0.0000 0.0000 [1 per cell]  8 As 2.73, 4 Ir 2.94
2 As 0.0000 0.5000 0.5000 [2 per cell]  4 Li 2.73, 4 Ir 2.73, 4 As 2.94
3 Ir 0.5000 0.5000 0.0000 [1 per cell]  8 As 2.73, 4 Li 2.94

(2)
A plane-wave DFT calculation with GGA-PBE was carried out for crystalline Li2AsIr at its relaxed geometry.

Properties
Total magnetic moment   0.000 μB per cell
N(E_F)   0.340 states/eV per atom
Electronic total energy   -4.664 eV/atom
Calculated formation energy   -127 kJ/mol of formula units

Unit cell a=3.6629 b=3.6629 c=8.2699 alpha=90.00 beta=90.00 gamma=90.00
Last column: nearest neighbours and their distance in Å.
Space group I4/mmm (No. 139)
Asymmetric unit:
1 Li 0.0000 0.5000 0.2500 [4 per cell]  4 Li 2.59, 4 As 2.76, 4 Ir 2.76
2 As 0.0000 0.0000 0.0000 [2 per cell]  4 Ir 2.59, 8 Li 2.76
3 Ir 0.0000 0.0000 0.5000 [2 per cell]  4 As 2.59, 8 Li 2.76

(3)
A plane-wave DFT calculation with GGA-PBE was carried out for crystalline Li2AsIr at its relaxed geometry.

Properties
Total magnetic moment   0.000 μB per cell
N(E_F)   0.142 states/eV per atom
Electronic total energy   -4.762 eV/atom
Calculated formation energy   -165 kJ/mol of formula units

Unit cell a=8.6041 b=3.0712 c=4.5429 alpha=90.00 beta=107.47 gamma=90.00
Last column: nearest neighbours and their distance in Å.
Space group Cm (No. 8)
Asymmetric unit:
1 Li 0.0000 0.0000 0.0000 [2 per cell]  3 Li 2.43-2.62, 2 As 2.64
2 Li 0.2424 0.0000 0.8314 [2 per cell]  3 Li 2.43-2.62, 2 Ir 2.71
3 As 0.4940 0.0000 0.4690 [2 per cell]  3 Ir 2.45-2.52, 2 Li 2.64
4 Ir 0.2621 0.5000 0.3522 [2 per cell]  3 As 2.45-2.52, 2 Li 2.71

(4)
A plane-wave DFT calculation with GGA-PBE was carried out for crystalline LiAs2Ir at its relaxed geometry.

Properties
Excess energy over the best structure of this formula in the dataset   125 meV per atom
Total magnetic moment   0.000 μB per cell
N(E_F)   0.354 states/eV per atom
Electronic total energy   -5.182 eV/atom
Calculated formation energy   -63 kJ/mol of formula units

Unit cell a=8.6985 b=3.2038 c=4.8489 alpha=90.00 beta=102.80 gamma=90.00
Last column: nearest neighbours and their distance in Å.
Space group Cm (No. 8)
Asymmetric unit:
1 Li 0.0000 0.0000 0.0000 [2 per cell]  3 As 2.40-2.56
2 As 0.0190 0.5000 0.4906 [2 per cell]  3 Ir 2.56-2.58, 2 Li 2.84
3 As 0.2656 0.0000 0.9332 [2 per cell]  3 Li 2.40-2.56, 2 Ir 2.53
4 Ir 0.2859 0.5000 0.3430 [2 per cell]  5 As 2.53-2.58, 1 Li 2.76

(5)
A plane-wave DFT calculation with GGA-PBE was carried out for crystalline Li2AsIr at its relaxed geometry.

Properties
Total magnetic moment   0.000 μB per cell
N(E_F)   0.443 states/eV per atom
Electronic total energy   -4.648 eV/atom
Calculated formation energy   -121 kJ/mol of formula units

Unit cell a=2.8847 b=4.2476 c=5.1785 alpha=90.00 beta=105.83 gamma=90.00
Last column: nearest neighbours and their distance in Å.
Space group Pm (No. 6)
Asymmetric unit:
1 Li 0.0000 0.0000 0.0000 [1 per cell]  3 Ir 2.66-2.74, 4 As 2.83, 4 Li 2.88-2.97
2 Li 0.3428 0.5000 0.6957 [1 per cell]  3 As 2.70, 4 Ir 2.81, 6 Li 2.88-2.99
3 As 0.6160 0.5000 0.2376 [1 per cell]  2 Ir 2.41, 2 Li 2.70
4 Ir 0.7285 0.0000 0.4668 [1 per cell]  2 As 2.41, 1 Li 2.66

(6)
A plane-wave DFT calculation with GGA-PBE was carried out for crystalline LiAs2Ir2 at its relaxed geometry.

Properties
Excess energy over the best structure of this formula in the dataset   0 meV per atom
Total magnetic moment   0.000 μB per cell
N(E_F)   0.601 states/eV per atom
Electronic total energy   -5.885 eV/atom
Calculated formation energy   -47 kJ/mol of formula units

Unit cell a=7.3803 b=7.3803 c=2.9662 alpha=90.00 beta=90.00 gamma=90.00
Last column: nearest neighbours and their distance in Å.
Space group P4/mbm (No. 127)
Asymmetric unit:
1 Li 0.0000 0.0000 0.0000 [2 per cell]  4 Ir 2.86, 2 Li 2.97, 8 As 3.14
2 As 0.1611 0.3389 0.5000 [4 per cell]  6 Ir 2.56-2.67
3 Ir 0.1385 0.6385 0.0000 [4 per cell]  6 As 2.56-2.67, 2 Li 2.86

(7)
A plane-wave DFT calculation with GGA-PBE was carried out for crystalline Li2As2Ir at its relaxed geometry.

Properties
Total magnetic moment   0.000 μB per cell
N(E_F)   0.218 states/eV per atom
Electronic total energy   -4.950 eV/atom
Calculated formation energy   -267 kJ/mol of formula units

Unit cell a=6.2453 b=6.2453 c=4.2947 alpha=90.00 beta=90.00 gamma=90.00
Last column: nearest neighbours and their distance in Å.
Space group P4/mbm (No. 127)
Asymmetric unit:
1 Li 0.1782 0.3218 0.0000 [4 per cell]  6 As 2.69-2.93
2 As 0.1379 0.6379 0.5000 [4 per cell]  2 Ir 2.42, 1 As 2.44, 2 Li 2.69
3 Ir 0.0000 0.0000 0.5000 [2 per cell]  4 As 2.42

(8)
A plane-wave DFT calculation with GGA-PBE was carried out for crystalline LiAs2Ir at its relaxed geometry.

Properties
Excess energy over the best structure of this formula in the dataset   341 meV per atom
Total magnetic moment   0.000 μB per cell
N(E_F)   0.573 states/eV per atom
Electronic total energy   -4.965 eV/atom
Calculated formation energy   20 kJ/mol of formula units

Unit cell a=3.0615 b=3.0615 c=24.9040 alpha=90.00 beta=90.00 gamma=120.00
Last column: nearest neighbours and their distance in Å.
Space group R3m (No. 160, hexagonal axes)
Asymmetric unit:
1 Li 0.0000 0.0000 0.0000 [3 per cell]  3 As 2.77, 3 Ir 2.78, 6 Li 3.06
2 As 0.0000 0.0000 0.5110 [3 per cell]  3 Ir 2.48
3 As 0.0000 0.0000 0.7522 [3 per cell]  3 Li 2.77, 9 As 2.90-3.06
4 Ir 0.0000 0.0000 0.2474 [3 per cell]  3 As 2.48, 3 Li 2.78

Q: Which value of electronic total energy does entry 7 give?
A: -4.950 eV/atom